Record 1
Entry from the Alexandria database: a relaxed K2NiHg crystal (GGA-PBE).

The structure in CIF format:
```
data_K2NiHg
_cell_length_a 5.5504
_cell_length_b 5.5457
_cell_length_c 4.2860
_cell_angle_alpha 90.00
_cell_angle_beta 90.00
_cell_angle_gamma 90.00
_symmetry_space_group_name_H-M 'P 1'
_symmetry_Int_Tables_number 1
_symmetry_space_group_name_Hall 'P 1'
loop_
_atom_site_label
_atom_site_type_symbol
_atom_site_fract_x
_atom_site_fract_y
_atom_site_fract_z
Hg1 Hg 0.0000 0.5000 0.5000
K1 K 0.0000 0.0000 0.0000
K2 K 0.5000 0.5000 0.0000
Ni1 Ni 0.5000 0.0000 0.5000
```

Properties
DFT formation energy: 1.60 eV per formula unit
Total magnetization: 0.51 μB/f.u.
Space group: P4/mmm (123)
DFT total energy: -1.6698 eV per atom
Crystal system: tetragonal

Record 2
Entry from the Alexandria database: a relaxed KNiHg2 crystal (GGA-PBE).

The structure in CIF format:
```
data_KNiHg2
_cell_length_a 3.6967
_cell_length_b 3.6775
_cell_length_c 7.9926
_cell_angle_alpha 90.00
_cell_angle_beta 90.00
_cell_angle_gamma 90.00
_symmetry_space_group_name_H-M 'P 1'
_symmetry_Int_Tables_number 1
_symmetry_space_group_name_Hall 'P 1'
loop_
_atom_site_label
_atom_site_type_symbol
_atom_site_fract_x
_atom_site_fract_y
_atom_site_fract_z
Hg1 Hg 0.0000 0.0000 0.9102
Hg2 Hg 0.5000 0.5000 0.2052
K1 K 0.0000 0.0000 0.5084
Ni1 Ni 0.5000 0.5000 0.8762
```

Properties
DFT formation energy: 0.43 eV per formula unit
Total magnetization: 0.00 μB/f.u.
Space group: Pmm2 (25)
Excess energy over the best structure of this formula in the dataset: 0.23 eV per formula unit
DFT total energy: -1.7633 eV per atom
Crystal system: orthorhombic

Record 3
Entry from the Alexandria database: a relaxed K2NiHg4 crystal (GGA-PBE).

The structure in CIF format:
```
data_K2NiHg4
_cell_length_a 5.1785
_cell_length_b 5.1785
_cell_length_c 9.4875
_cell_angle_alpha 74.16
_cell_angle_beta 74.16
_cell_angle_gamma 90.00
_symmetry_space_group_name_H-M 'P 1'
_symmetry_Int_Tables_number 1
_symmetry_space_group_name_Hall 'P 1'
loop_
_atom_site_label
_atom_site_type_symbol
_atom_site_fract_x
_atom_site_fract_y
_atom_site_fract_z
Ni1 Ni 0.0000 0.0000 0.0000
K1 K 0.6470 0.6470 0.7060
K2 K 0.3530 0.3530 0.2940
Hg1 Hg 0.8515 0.8515 0.2970
Hg2 Hg 0.1485 0.1485 0.7030
Hg3 Hg 0.0000 0.5000 0.0000
Hg4 Hg 0.5000 0.0000 0.0000
```

Properties
DFT formation energy: -0.94 eV per formula unit
Total magnetization: 0.00 μB/f.u.
Space group: I4/mmm (139)
DFT total energy: -1.4463 eV per atom
Crystal system: tetragonal

Record 4
Entry from the Alexandria database: a relaxed K2NiHg crystal (GGA-PBE).

The structure in CIF format:
```
data_K2NiHg
_cell_length_a 5.3980
_cell_length_b 5.3980
_cell_length_c 5.3980
_cell_angle_alpha 119.80
_cell_angle_beta 119.80
_cell_angle_gamma 90.34
_symmetry_space_group_name_H-M 'P 1'
_symmetry_Int_Tables_number 1
_symmetry_space_group_name_Hall 'P 1'
loop_
_atom_site_label
_atom_site_type_symbol
_atom_site_fract_x
_atom_site_fract_y
_atom_site_fract_z
Hg1 Hg 0.7500 0.2500 0.5000
K1 K 0.0000 0.0000 0.0000
K2 K 0.2500 0.7500 0.5000
Ni1 Ni 0.5000 0.5000 0.0000
```

Properties
DFT formation energy: 1.49 eV per formula unit
Total magnetization: 0.00 μB/f.u.
Space group: I-4m2 (119)
DFT total energy: -1.6967 eV per atom
Crystal system: tetragonal

Record 5
Entry from the Alexandria database: a relaxed K2NiHg crystal (GGA-PBE).

The structure in CIF format:
```
data_K2NiHg
_cell_length_a 4.7265
_cell_length_b 4.7265
_cell_length_c 9.3915
_cell_angle_alpha 86.11
_cell_angle_beta 86.11
_cell_angle_gamma 38.67
_symmetry_space_group_name_H-M 'P 1'
_symmetry_Int_Tables_number 1
_symmetry_space_group_name_Hall 'P 1'
loop_
_atom_site_label
_atom_site_type_symbol
_atom_site_fract_x
_atom_site_fract_y
_atom_site_fract_z
Hg1 Hg 0.2500 0.2500 0.2500
K1 K 0.0035 0.0035 0.9617
K2 K 0.4965 0.4965 0.5383
Ni1 Ni 0.7500 0.7500 0.7500
```

Properties
DFT formation energy: 1.86 eV per formula unit
Total magnetization: 0.24 μB/f.u.
Space group: C2/m (12)
DFT total energy: -1.6041 eV per atom
Crystal system: monoclinic

Record 6
Entry from the Alexandria database: a relaxed KNi3Hg crystal (GGA-PBE).

The structure in CIF format:
```
data_KNi3Hg
_cell_length_a 4.9232
_cell_length_b 4.9232
_cell_length_c 4.9232
_cell_angle_alpha 90.00
_cell_angle_beta 90.00
_cell_angle_gamma 90.00
_symmetry_space_group_name_H-M 'P 1'
_symmetry_Int_Tables_number 1
_symmetry_space_group_name_Hall 'P 1'
loop_
_atom_site_label
_atom_site_type_symbol
_atom_site_fract_x
_atom_site_fract_y
_atom_site_fract_z
Ni1 Ni 0.0000 0.5000 0.0000
Ni2 Ni 0.0000 0.0000 0.5000
Ni3 Ni 0.5000 0.0000 0.0000
K1 K 0.5000 0.5000 0.5000
Hg1 Hg 0.0000 0.0000 0.0000
```

Properties
DFT formation energy: 5.14 eV per formula unit
Total magnetization: 1.00 μB/f.u.
Space group: Pm-3m (221)
Excess energy over the best structure of this formula in the dataset: 0.00 eV per formula unit
DFT total energy: -2.7215 eV per atom
Crystal system: cubic

Record 7
Entry from the Alexandria database: a relaxed KNiHg2 crystal (GGA-PBE).

The structure in CIF format:
```
data_KNiHg2
_cell_length_a 3.6253
_cell_length_b 3.1875
_cell_length_c 8.7410
_cell_angle_alpha 68.49
_cell_angle_beta 90.00
_cell_angle_gamma 90.00
_symmetry_space_group_name_H-M 'P 1'
_symmetry_Int_Tables_number 1
_symmetry_space_group_name_Hall 'P 1'
loop_
_atom_site_label
_atom_site_type_symbol
_atom_site_fract_x
_atom_site_fract_y
_atom_site_fract_z
Hg1 Hg 0.0000 0.0660 0.9336
Hg2 Hg 0.0000 0.4340 0.5664
K1 K 0.5000 0.2500 0.2500
Ni1 Ni 0.5000 0.7500 0.7500
```

Properties
DFT formation energy: 0.57 eV per formula unit
Total magnetization: 0.00 μB/f.u.
Space group: P2/m (10)
Excess energy over the best structure of this formula in the dataset: 0.37 eV per formula unit
DFT total energy: -1.7274 eV per atom
Crystal system: monoclinic

Record 8
Entry from the Alexandria database: a relaxed K2NiHgP crystal (GGA-PBE).

The structure in CIF format:
```
data_K2NiHgP
_cell_length_a 6.3447
_cell_length_b 6.3447
_cell_length_c 4.1519
_cell_angle_alpha 90.00
_cell_angle_beta 90.00
_cell_angle_gamma 90.00
_symmetry_space_group_name_H-M 'P 1'
_symmetry_Int_Tables_number 1
_symmetry_space_group_name_Hall 'P 1'
loop_
_atom_site_label
_atom_site_type_symbol
_atom_site_fract_x
_atom_site_fract_y
_atom_site_fract_z
Ni1 Ni 0.0000 0.0000 0.5000
K1 K 0.0000 0.5000 0.0000
K2 K 0.5000 0.0000 0.0000
Hg1 Hg 0.5000 0.5000 0.5000
P1 P 0.0000 0.0000 0.0000
```

Properties
DFT formation energy: -0.96 eV per formula unit
Total magnetization: 0.00 μB/f.u.
Space group: P4/mmm (123)
DFT total energy: -2.9291 eV per atom
Crystal system: tetragonal

Record 9
Entry from the Alexandria database: a relaxed KNi2HgP crystal (GGA-PBE).

The structure in CIF format:
```
data_KNi2HgP
_cell_length_a 4.8596
_cell_length_b 5.7974
_cell_length_c 4.8596
_cell_angle_alpha 90.00
_cell_angle_beta 90.00
_cell_angle_gamma 90.00
_symmetry_space_group_name_H-M 'P 1'
_symmetry_Int_Tables_number 1
_symmetry_space_group_name_Hall 'P 1'
loop_
_atom_site_label
_atom_site_type_symbol
_atom_site_fract_x
_atom_site_fract_y
_atom_site_fract_z
Ni1 Ni 0.0000 0.0000 0.5000
Ni2 Ni 0.5000 0.0000 0.0000
K1 K 0.0000 0.5000 0.0000
Hg1 Hg 0.0000 0.0000 0.0000
P1 P 0.5000 0.5000 0.5000
```

Properties
DFT formation energy: 6.13 eV per formula unit
Total magnetization: 1.99 μB/f.u.
Space group: P4/mmm (123)
DFT total energy: -2.4487 eV per atom
Crystal system: tetragonal

Record 10
Entry from the Alexandria database: a relaxed KRb2NiHg crystal (GGA-PBE).

The structure in CIF format:
```
data_KRb2NiHg
_cell_length_a 7.0350
_cell_length_b 4.9887
_cell_length_c 7.0350
_cell_angle_alpha 90.00
_cell_angle_beta 90.00
_cell_angle_gamma 90.00
_symmetry_space_group_name_H-M 'P 1'
_symmetry_Int_Tables_number 1
_symmetry_space_group_name_Hall 'P 1'
loop_
_atom_site_label
_atom_site_type_symbol
_atom_site_fract_x
_atom_site_fract_y
_atom_site_fract_z
Ni1 Ni 0.0000 0.5000 0.0000
K1 K 0.5000 0.5000 0.5000
Hg1 Hg 0.0000 0.0000 0.0000
Rb1 Rb 0.0000 0.0000 0.5000
Rb2 Rb 0.5000 0.0000 0.0000
```

Properties
DFT formation energy: 1.53 eV per formula unit
Total magnetization: 0.00 μB/f.u.
Space group: P4/mmm (123)
DFT total energy: -1.5167 eV per atom
Crystal system: tetragonal